Compound: NaTmTlIn
Source: the Alexandria database
Functional: GGA-PBE
Structure: relaxed

a = 3.779 Å, b = 5.263 Å, c = 5.238 Å
α = 90.00°, β = 90.00°, γ = 90.00°
Atoms (fractional coordinates):
Na (0.500, 0.500, 0.000)
In (0.000, 0.000, 0.000)
Tl (0.000, 0.500, 0.500)
Tm (0.500, 0.000, 0.500)

Properties
**Space group**: Pmmm, No. 47
**Relative energy among the computed polymorphs**: 0 meV/atom


Compound: Na2YTl2In
Source: the Alexandria database
Functional: GGA-PBE
Structure: relaxed

a = 4.817 Å, b = 7.385 Å, c = 9.526 Å
α = 90.00°, β = 90.00°, γ = 90.00°
Atoms (fractional coordinates):
Tl (0.000, 0.780, 0.152)
Na (0.500, 0.544, 0.944)
Tl (0.500, 0.745, 0.630)
Na (0.000, 0.840, 0.824)
Na (0.000, 0.340, 0.176)
In (0.500, 0.660, 0.320)
Tl (0.500, 0.245, 0.370)
Na (0.500, 0.044, 0.056)
Y (0.000, 0.477, 0.536)
Tl (0.000, 0.280, 0.848)
In (0.500, 0.160, 0.680)
Y (0.000, 0.977, 0.464)

Properties
**Space group**: Pmc2_1, No. 26


Compound: NaTm2In
Source: the Alexandria database
Functional: GGA-PBE
Structure: relaxed

a = 3.471 Å, b = 3.471 Å, c = 9.719 Å
α = 90.00°, β = 90.00°, γ = 90.00°
Atoms (fractional coordinates):
Tm (0.000, 0.000, 0.213)
In (0.500, 0.500, 0.000)
Na (0.500, 0.500, 0.500)
Tm (0.000, 0.000, 0.787)

Properties
**Space group**: P4/mmm, No. 123


Compound: NaTmIn4
Source: the Alexandria database
Functional: GGA-PBE
Structure: relaxed

a = 3.388 Å, b = 5.045 Å, c = 9.002 Å
α = 90.00°, β = 90.03°, γ = 90.00°
Atoms (fractional coordinates):
Tm (0.500, 0.500, 0.500)
In (0.003, 0.500, 0.168)
In (0.998, 0.000, 0.337)
In (0.997, 0.500, 0.832)
Na (0.500, 0.000, 0.000)
In (0.002, 0.000, 0.663)

Properties
**Space group**: P2/m, No. 10
**Relative energy among the computed polymorphs**: 0 meV/atom


Compound: NaTm4In5
Source: the Alexandria database
Functional: GGA-PBE
Structure: relaxed

a = 3.680 Å, b = 3.680 Å, c = 19.145 Å
α = 90.00°, β = 90.00°, γ = 90.00°
Atoms (fractional coordinates):
In (0.500, 0.500, 0.104)
Tm (0.000, 0.000, 0.200)
Tm (0.000, 0.000, 0.800)
In (0.500, 0.500, 0.500)
In (0.500, 0.500, 0.301)
Na (0.000, 0.000, 0.000)
Tm (0.000, 0.000, 0.600)
Tm (0.000, 0.000, 0.400)
In (0.500, 0.500, 0.699)
In (0.500, 0.500, 0.896)

Properties
**Space group**: P4/mmm, No. 123


Compound: NaTm2In
Source: the Alexandria database
Functional: GGA-PBE
Structure: relaxed

a = 4.263 Å, b = 5.042 Å, c = 5.042 Å
α = 90.00°, β = 90.00°, γ = 90.00°
Atoms (fractional coordinates):
In (0.500, 0.000, 0.000)
Na (0.500, 0.500, 0.500)
Tm (0.000, 0.500, 0.000)
Tm (0.000, 0.000, 0.500)

Properties
**Space group**: P4/mmm, No. 123


Compound: NaTm5In6
Source: the Alexandria database
Functional: GGA-PBE
Structure: relaxed

a = 5.257 Å, b = 7.391 Å, c = 9.124 Å
α = 113.89°, β = 106.74°, γ = 90.00°
Atoms (fractional coordinates):
Tm (0.000, 0.500, 0.000)
In (0.166, 0.917, 0.333)
Tm (0.337, 0.837, 0.674)
In (0.500, 0.752, 0.000)
In (0.834, 0.083, 0.667)
In (0.834, 0.584, 0.667)
Tm (0.663, 0.163, 0.326)
Tm (0.666, 0.666, 0.333)
In (0.500, 0.248, 0.000)
Na (0.000, 0.000, 0.000)
Tm (0.334, 0.334, 0.667)
In (0.166, 0.416, 0.333)

Properties
**Space group**: Immm, No. 71


Compound: NaTm2In3
Source: the Alexandria database
Functional: GGA-PBE
Structure: relaxed

a = 3.673 Å, b = 3.673 Å, c = 11.546 Å
α = 90.00°, β = 90.00°, γ = 90.00°
Atoms (fractional coordinates):
In (0.000, 0.000, 0.331)
Tm (0.500, 0.500, 0.169)
Na (0.500, 0.500, 0.500)
In (0.000, 0.000, 0.000)
Tm (0.500, 0.500, 0.831)
In (0.000, 0.000, 0.669)

Properties
**Space group**: P4/mmm, No. 123


Compound: NaTm5In3
Source: the Alexandria database
Functional: GGA-PBE
Structure: relaxed

a = 6.605 Å, b = 9.218 Å, c = 9.218 Å
α = 120.00°, β = 90.00°, γ = 90.00°
Atoms (fractional coordinates):
Tm (0.500, 0.667, 0.333)
Tm (0.000, 0.667, 0.333)
Tm (0.250, 0.000, 0.681)
In (0.250, 0.000, 0.349)
Tm (0.750, 0.681, 0.681)
Tm (0.250, 0.319, 0.319)
In (0.750, 0.651, 0.000)
In (0.250, 0.349, 0.000)
Tm (0.500, 0.333, 0.667)
In (0.250, 0.651, 0.651)
In (0.750, 0.349, 0.349)
Na (0.500, 0.000, 0.000)
Na (0.000, 0.000, 0.000)
In (0.750, 0.000, 0.651)
Tm (0.750, 0.000, 0.319)
Tm (0.000, 0.333, 0.667)
Tm (0.250, 0.681, 0.000)
Tm (0.750, 0.319, 0.000)

Properties
**Space group**: P6_3/mcm, No. 193


Compound: NaTmIn4
Source: the Alexandria database
Functional: GGA-PBE
Structure: relaxed

a = 6.064 Å, b = 6.064 Å, c = 6.064 Å
α = 60.00°, β = 60.00°, γ = 60.00°
Atoms (fractional coordinates):
In (0.124, 0.625, 0.625)
Na (0.250, 0.250, 0.250)
In (0.625, 0.625, 0.124)
In (0.625, 0.625, 0.625)
Tm (0.000, 0.000, 0.000)
In (0.625, 0.124, 0.625)

Properties
**Space group**: F-43m, No. 216
**Relative energy among the computed polymorphs**: 94 meV/atom


Compound: NaYTmIn
Source: the Alexandria database
Functional: GGA-PBE
Structure: relaxed

a = 5.365 Å, b = 5.365 Å, c = 5.365 Å
α = 60.00°, β = 60.00°, γ = 60.00°
Atoms (fractional coordinates):
In (0.000, 0.000, 0.000)
Na (0.500, 0.500, 0.500)
Y (0.750, 0.750, 0.750)
Tm (0.250, 0.250, 0.250)

Properties
**Space group**: F-43m, No. 216


Compound: NaTmZnIn
Source: the Alexandria database
Functional: GGA-PBE
Structure: relaxed

a = 5.105 Å, b = 5.105 Å, c = 5.105 Å
α = 60.00°, β = 60.00°, γ = 60.00°
Atoms (fractional coordinates):
In (0.500, 0.500, 0.500)
Tm (0.750, 0.750, 0.750)
Zn (0.000, 0.000, 0.000)
Na (0.250, 0.250, 0.250)

Properties
**Space group**: F-43m, No. 216


| no. | DFT formation energy (eV/atom) | DOS(E_F) (states/eV per cell) | electronic total energy (eV/atom) |
| --- | --- | --- | --- |
| 1 | -0.25 | 2.32 | -2.9734 |
| 2 | -0.18 | 6.56 | -2.9401 |
| 3 | -0.03 | 4.30 | -3.2836 |
| 4 | -0.22 | 3.15 | -3.0083 |
| 5 | -0.35 | 5.29 | -3.6421 |
| 6 | -0.06 | 2.00 | -3.3099 |
| 7 | -0.37 | 7.73 | -3.7140 |
| 8 | -0.30 | 3.75 | -3.3816 |
| 9 | -0.30 | 10.49 | -3.8408 |
| 10 | -0.12 | 3.74 | -2.9147 |
| 11 | -0.12 | 3.44 | -3.8702 |
| 12 | -0.15 | 2.10 | -2.5996 |